! Pm2AuCl | Alexandria | PBE | optimized geometry; values from VASP
! **Total energy**: -0.174 Ha/atom
! **Density of states at the Fermi level**: 7.99 states/eV/cell
! **Symmetry**: R-3m (166)
! **Magnetization**: 0.000 μB per atom
! **Formation energy (no corrections)**: -104 kJ/mol of atoms
&SYSTEM
  ibrav = 0, nat = 12, ntyp = 3
/
ATOMIC_SPECIES
Pm 145.00 Pm.upf
Au 196.97 Au.upf
Cl 35.45 Cl.upf
CELL_PARAMETERS angstrom
4.284 0.000 0.000
-2.142 3.710 0.000
0.000 0.000 20.231
ATOMIC_POSITIONS angstrom
Pm 0.000 0.000 5.035
Pm 0.000 0.000 15.196
Pm 0.000 2.474 8.453
Pm 0.000 2.474 18.522
Pm 2.142 1.237 1.709
Pm 2.142 1.237 11.779
Au 0.000 0.000 10.116
Au 0.000 2.474 3.372
Au 2.142 1.237 16.859
Cl 0.000 0.000 0.000
Cl 0.000 2.474 13.488
Cl 2.142 1.237 6.744